1.
Sn3HgC | GGA-PBE | relaxed

```
Sn3HgC
1.0
4.8397 0.0000 0.0000
0.0000 4.8397 0.0000
0.0000 0.0000 4.8397
Sn Hg C
3 1 1
Cartesian
0.0000 0.0000 2.4198 Sn
0.0000 2.4198 0.0000 Sn
2.4198 0.0000 0.0000 Sn
2.4198 2.4198 2.4198 Hg
0.0000 0.0000 0.0000 C
```

symmetry: No. 221
E above lowest polymorph: 0.000 eV/atom
crystal system: cubic
total energy: -0.2579 Ry/atom
DOS(E_F): 2.9 states/eV/f.u.
energy of formation: 76.95 kJ per mole of atoms



2.
Sn3HgC | GGA-PBE | relaxed

```
Sn3HgC
1.0
5.5668 0.0000 0.0000
0.0000 5.5668 0.0000
0.0000 0.0000 5.5668
Sn Hg C
3 1 1
Cartesian
0.0000 0.0000 2.7834 Sn
0.0000 2.7834 0.0000 Sn
2.7834 0.0000 0.0000 Sn
0.0000 0.0000 0.0000 Hg
2.7834 2.7834 2.7834 C
```

symmetry: No. 221
E above lowest polymorph: 1.072 eV/atom
crystal system: cubic
total energy: -0.1791 Ry/atom
DOS(E_F): 2.7 states/eV/f.u.
energy of formation: 180.37 kJ per mole of atoms



3.
SnHg2C | GGA-PBE | relaxed

```
SnHg2C
1.0
-3.4221 3.4221 4.8403
3.4221 -3.4221 4.8403
3.4221 3.4221 -4.8403
Sn Hg C
2 4 2
Cartesian
0.0000 0.0000 0.0000 Sn
0.0000 3.4221 2.4201 Sn
1.7111 3.4064 -1.2101 Hg
3.4378 1.7111 1.2101 Hg
1.7111 0.0157 3.6302 Hg
-0.0157 1.7111 6.0504 Hg
3.4221 0.0000 2.4201 C
0.0000 0.0000 4.8403 C
```

symmetry: No. 122
E above lowest polymorph: 0.000 eV/atom
crystal system: tetragonal
total energy: -0.1748 Ry/atom
DOS(E_F): 3.2 states/eV/f.u.
energy of formation: 104.11 kJ per mole of atoms



4.
SnHg2C | GGA-PBE | relaxed

```
SnHg2C
1.0
0.0000 3.4798 3.4798
3.4798 0.0000 3.4798
3.4798 3.4798 0.0000
Sn Hg C
1 2 1
Cartesian
0.0000 0.0000 0.0000 Sn
1.7399 1.7399 1.7399 Hg
5.2196 5.2196 5.2196 Hg
3.4798 3.4798 3.4798 C
```

symmetry: No. 225
E above lowest polymorph: 0.401 eV/atom
crystal system: cubic
total energy: -0.1453 Ry/atom
DOS(E_F): 1.3 states/eV/f.u.
energy of formation: 142.82 kJ per mole of atoms



5.
TaSn2HgC | GGA-PBE | relaxed

```
TaSn2HgC
1.0
4.8989 0.0000 0.0000
0.0000 4.8989 0.0000
0.0000 0.0000 4.2429
Ta Sn Hg C
1 2 1 1
Cartesian
0.0000 0.0000 0.0000 Ta
0.0000 2.4495 2.1215 Sn
2.4495 0.0000 2.1215 Sn
2.4495 2.4495 0.0000 Hg
0.0000 0.0000 2.1215 C
```

symmetry: No. 123
crystal system: tetragonal
total energy: -0.3782 Ry/atom
DOS(E_F): 3.6 states/eV/f.u.
energy of formation: 70.54 kJ per mole of atoms



6.
Tb4SnHgC | GGA-PBE | relaxed

```
Tb4SnHgC
1.0
3.4867 -7.5895 0.0000
3.4867 7.5895 0.0000
0.0000 0.0000 6.9607
Tb Sn Hg C
8 2 2 2
Cartesian
1.7434 3.7948 0.0000 Tb
1.7434 3.7948 3.4804 Tb
3.4867 6.3334 5.2205 Tb
3.4867 1.3406 5.2205 Tb
1.7434 -3.7948 0.0000 Tb
1.7434 -3.7948 3.4804 Tb
3.4867 -1.3406 1.7402 Tb
3.4867 -6.3334 1.7402 Tb
3.4867 1.7783 1.7402 Sn
3.4867 -1.7783 5.2205 Sn
3.4867 5.8163 1.7402 Hg
3.4867 -5.8163 5.2205 Hg
3.4867 3.8044 5.2205 C
3.4867 -3.8044 1.7402 C
```

symmetry: No. 63
crystal system: orthorhombic
total energy: -0.3717 Ry/atom
DOS(E_F): 2.7 states/eV/f.u.
energy of formation: -46.17 kJ per mole of atoms



7.
ZrSnHg2C | GGA-PBE | relaxed

```
ZrSnHg2C
1.0
5.5868 0.0000 0.0000
0.0000 5.5868 0.0000
0.0000 0.0000 3.9374
Zr Sn Hg C
1 1 2 1
Cartesian
0.0000 0.0000 0.0000 Zr
2.7934 2.7934 1.9687 Sn
0.0000 2.7934 1.9687 Hg
2.7934 0.0000 1.9687 Hg
2.7934 2.7934 0.0000 C
```

symmetry: No. 123
E above lowest polymorph: 0.000 eV/atom
crystal system: tetragonal
total energy: -0.2279 Ry/atom
DOS(E_F): 4.6 states/eV/f.u.
energy of formation: 132.66 kJ per mole of atoms



8.
Zr2SnHgC | GGA-PBE | relaxed

```
Zr2SnHgC
1.0
4.5808 0.0000 0.0000
0.0000 4.5808 0.0000
0.0000 0.0000 4.6905
Zr Sn Hg C
2 1 1 1
Cartesian
0.0000 2.2904 0.0000 Zr
2.2904 0.0000 0.0000 Zr
0.0000 0.0000 2.3453 Sn
2.2904 2.2904 2.3453 Hg
0.0000 0.0000 0.0000 C
```

symmetry: No. 123
crystal system: tetragonal
total energy: -0.4511 Ry/atom
DOS(E_F): 3.3 states/eV/f.u.
energy of formation: -1.19 kJ per mole of atoms



M_tot
In order: 0.00; 1.25; 0.00; 0.00; 0.00; 0.00; 0.75; 0.00
Unit: μB per cell